Entry 1:
Computed, not measured: a geometry-optimized BaAl2Tc structure at the PBE level of DFT.

Results
As for the formation enthalpy at 0 K: 650 meV per atom. As for the symmetry: No. 119. As for the energy relative to the lowest polymorph listed for this composition: 729 meV/atom. Its electronic total energy is -4.294 eV per atom. The magnetization is 0.00 μB/f.u.

Lattice parameters (Å, degrees): 4.9168 4.9168 4.9168 120.07 120.07 89.87
Fractional coordinates of all 4 atoms:
Ba (0.0000, 0.0000, 0.0000)
Al (0.5000, 0.5000, 0.0000)
Al (0.7500, 0.2500, 0.5000)
Tc (0.2500, 0.7500, 0.5000)

***

Entry 2:
Computed, not measured: a geometry-optimized BaAlTc2 structure at the PBE level of DFT.

Results
As for the formation enthalpy at 0 K: 729 meV per atom. As for the symmetry: No. 44. Its electronic total energy is -5.871 eV per atom. The magnetization is 0.00 μB/f.u.

Lattice parameters (Å, degrees): 6.0357 6.0357 6.0357 149.86 128.07 61.23
Fractional coordinates of all 4 atoms:
Ba (0.0000, 0.0000, 0.0000)
Al (0.3019, 0.8019, 0.5000)
Tc (0.5335, 0.5335, 0.0000)
Tc (0.7137, 0.2137, 0.5000)

***

Entry 3:
Computed, not measured: a geometry-optimized BaAlTc2 structure at the PBE level of DFT.

Results
As for the formation enthalpy at 0 K: 812 meV per atom. As for the symmetry: No. 166. Its electronic total energy is -5.787 eV per atom. The magnetization is 0.93 μB/f.u.

Lattice parameters (Å, degrees): 10.0860 10.0860 10.0860 17.11 17.11 17.11
Fractional coordinates of all 4 atoms:
Ba (0.0000, 0.0000, 0.0000)
Al (0.5000, 0.5000, 0.5000)
Tc (0.2346, 0.2346, 0.2346)
Tc (0.7654, 0.7654, 0.7654)

***

Entry 4:
Computed, not measured: a geometry-optimized BaAl3Tc structure at the PBE level of DFT.

Results
As for the formation enthalpy at 0 K: 425 meV per atom. As for the symmetry: No. 160. As for the energy relative to the lowest polymorph listed for this composition: 742 meV/atom. Its electronic total energy is -4.278 eV per atom. The magnetization is 0.00 μB/f.u.

Lattice parameters (Å, degrees): 5.1155 5.1155 5.1155 70.88 70.88 70.88
Fractional coordinates of all 5 atoms:
Ba (0.0000, 0.0000, 0.0000)
Al (0.4043, 0.4043, 0.8888)
Al (0.4043, 0.8888, 0.4043)
Al (0.8888, 0.4043, 0.4043)
Tc (0.7336, 0.7336, 0.7336)

***

Entry 5:
Computed, not measured: a geometry-optimized BaAlTc2 structure at the PBE level of DFT.

Results
As for the formation enthalpy at 0 K: 70 meV per atom. As for the symmetry: No. 8. Its electronic total energy is -6.529 eV per atom. The magnetization is 0.00 μB/f.u.

Lattice parameters (Å, degrees): 4.3539 4.3539 6.6500 109.11 109.11 59.86
Fractional coordinates of all 4 atoms:
Ba (0.0000, 0.0000, 0.0000)
Al (0.8114, 0.8114, 0.4326)
Tc (0.1950, 0.1950, 0.5828)
Tc (0.5117, 0.5117, 0.5337)

***

Entry 6:
Computed, not measured: a geometry-optimized BaAl3Tc structure at the PBE level of DFT.

Results
As for the formation enthalpy at 0 K: -109 meV per atom. As for the symmetry: No. 15. As for the energy relative to the lowest polymorph listed for this composition: 208 meV/atom. Its electronic total energy is -4.812 eV per atom. The magnetization is 0.00 μB/f.u.

Lattice parameters (Å, degrees): 7.9974 7.9974 7.7185 102.92 102.92 105.00
Fractional coordinates of all 20 atoms:
Ba (0.1296, 0.2153, 0.2092)
Ba (0.2153, 0.1296, 0.7092)
Ba (0.7847, 0.8704, 0.2908)
Ba (0.8704, 0.7847, 0.7908)
Al (0.0778, 0.4859, 0.8590)
Al (0.1417, 0.6525, 0.5041)
Al (0.3475, 0.8583, 0.9959)
Al (0.3931, 0.5480, 0.0782)
Al (0.4520, 0.6069, 0.4218)
Al (0.4859, 0.0778, 0.3590)
Al (0.5141, 0.9222, 0.6410)
Al (0.5480, 0.3931, 0.5782)
Al (0.6069, 0.4520, 0.9218)
Al (0.6525, 0.1417, 0.0041)
Al (0.8583, 0.3475, 0.4959)
Al (0.9222, 0.5141, 0.1410)
Tc (0.2439, 0.7561, 0.2500)
Tc (0.3905, 0.6095, 0.7500)
Tc (0.6095, 0.3905, 0.2500)
Tc (0.7561, 0.2439, 0.7500)

***

Entry 7:
Computed, not measured: a geometry-optimized BaAl3Tc structure at the PBE level of DFT.

Results
As for the formation enthalpy at 0 K: -199 meV per atom. As for the symmetry: No. 6. As for the energy relative to the lowest polymorph listed for this composition: 119 meV/atom. Its electronic total energy is -4.902 eV per atom. The magnetization is 0.00 μB/f.u.

Lattice parameters (Å, degrees): 5.1154 4.1694 11.2252 90.00 94.69 90.00
Fractional coordinates of all 10 atoms:
Ba (0.0000, 0.0000, 0.0000)
Ba (0.4608, 0.5000, 0.7413)
Al (0.0295, 0.5000, 0.2240)
Al (0.1313, 0.5000, 0.4613)
Al (0.3572, 0.0000, 0.2904)
Al (0.5390, 0.5000, 0.1441)
Al (0.6244, 0.5000, 0.4246)
Al (0.9092, 0.0000, 0.5810)
Tc (0.4029, 0.0000, 0.5186)
Tc (0.8663, 0.0000, 0.3402)

***

Entry 8:
Computed, not measured: a geometry-optimized BaAl3Tc structure at the PBE level of DFT.

Results
As for the formation enthalpy at 0 K: 120 meV per atom. As for the symmetry: No. 194. As for the energy relative to the lowest polymorph listed for this composition: 437 meV/atom. Its electronic total energy is -4.584 eV per atom. The magnetization is 0.00 μB/f.u.

Lattice parameters (Å, degrees): 4.8351 4.8351 10.2919 90.00 90.00 120.00
Fractional coordinates of all 10 atoms:
Ba (0.3333, 0.6667, 0.2500)
Ba (0.6667, 0.3333, 0.7500)
Al (0.0000, 0.0000, 0.2500)
Al (0.0000, 0.0000, 0.7500)
Al (0.3333, 0.6667, 0.5581)
Al (0.3333, 0.6667, 0.9419)
Al (0.6667, 0.3333, 0.0581)
Al (0.6667, 0.3333, 0.4419)
Tc (0.0000, 0.0000, 0.0000)
Tc (0.0000, 0.0000, 0.5000)

***

Entry 9:
Computed, not measured: a geometry-optimized BaAlTc2 structure at the PBE level of DFT.

Results
As for the formation enthalpy at 0 K: 646 meV per atom. As for the symmetry: No. 122. Its electronic total energy is -5.953 eV per atom. The magnetization is 0.29 μB/f.u.

Lattice parameters (Å, degrees): 9.7785 9.7785 9.7785 151.80 151.80 40.30
Fractional coordinates of all 8 atoms:
Ba (0.0000, 0.0000, 0.0000)
Ba (0.7500, 0.2500, 0.5000)
Al (0.2500, 0.7500, 0.5000)
Al (0.5000, 0.5000, 0.0000)
Tc (0.3336, 0.6250, 0.2086)
Tc (0.3750, 0.5836, 0.7086)
Tc (0.4164, 0.1250, 0.7914)
Tc (0.8750, 0.6664, 0.2914)

***

Entry 10:
Computed, not measured: a geometry-optimized BaAlTc2 structure at the PBE level of DFT.

Results
As for the formation enthalpy at 0 K: 977 meV per atom. As for the symmetry: No. 12. Its electronic total energy is -5.623 eV per atom. The magnetization is 0.00 μB/f.u.

Lattice parameters (Å, degrees): 5.5439 5.5439 2.9906 105.04 105.04 110.27
Fractional coordinates of all 4 atoms:
Ba (0.0000, 0.0000, 0.0000)
Al (0.5000, 0.5000, 0.0000)
Tc (0.0000, 0.5000, 0.5000)
Tc (0.5000, 0.0000, 0.5000)

***

Entry 11:
Computed, not measured: a geometry-optimized BaAl3Tc structure at the PBE level of DFT.

Results
As for the formation enthalpy at 0 K: -164 meV per atom. As for the symmetry: No. 63. As for the energy relative to the lowest polymorph listed for this composition: 154 meV/atom. Its electronic total energy is -4.867 eV per atom. The magnetization is 0.00 μB/f.u.

Lattice parameters (Å, degrees): 7.1557 7.1557 4.9545 90.00 90.00 124.49
Fractional coordinates of all 10 atoms:
Ba (0.0849, 0.9151, 0.7500)
Ba (0.9151, 0.0849, 0.2500)
Al (0.1126, 0.4843, 0.7500)
Al (0.4843, 0.1126, 0.2500)
Al (0.5000, 0.5000, 0.0000)
Al (0.5000, 0.5000, 0.5000)
Al (0.5157, 0.8874, 0.7500)
Al (0.8874, 0.5157, 0.2500)
Tc (0.3189, 0.6811, 0.2500)
Tc (0.6811, 0.3189, 0.7500)

***

Entry 12:
Computed, not measured: a geometry-optimized BaAl2Tc structure at the PBE level of DFT.

Results
As for the formation enthalpy at 0 K: 61 meV per atom. As for the symmetry: No. 44. As for the energy relative to the lowest polymorph listed for this composition: 140 meV/atom. Its electronic total energy is -4.882 eV per atom. The magnetization is 0.00 μB/f.u.

Lattice parameters (Å, degrees): 7.6610 7.6610 7.6610 154.80 149.77 39.75
Fractional coordinates of all 4 atoms:
Ba (0.0000, 0.0000, 0.0000)
Al (0.3411, 0.3411, 0.0000)
Al (0.7075, 0.2075, 0.5000)
Tc (0.2091, 0.7091, 0.5000)

***

Entry 13:
Computed, not measured: a geometry-optimized BaAlTc2 structure at the PBE level of DFT.

Results
As for the formation enthalpy at 0 K: 366 meV per atom. As for the symmetry: No. 6. Its electronic total energy is -6.233 eV per atom. The magnetization is 0.00 μB/f.u.

Lattice parameters (Å, degrees): 3.0826 4.1399 7.1959 90.00 98.92 90.00
Fractional coordinates of all 4 atoms:
Ba (0.0000, 0.0000, 0.0000)
Al (0.3560, 0.5000, 0.6716)
Tc (0.4329, 0.0000, 0.4595)
Tc (0.7663, 0.5000, 0.3653)

***

Entry 14:
Computed, not measured: a geometry-optimized BaAl2Tc structure at the PBE level of DFT.

Results
As for the formation enthalpy at 0 K: 140 meV per atom. As for the symmetry: No. 99. As for the energy relative to the lowest polymorph listed for this composition: 219 meV/atom. Its electronic total energy is -4.804 eV per atom. The magnetization is 0.00 μB/f.u.

Lattice parameters (Å, degrees): 3.4788 3.4788 7.6763 90.00 90.00 90.00
Fractional coordinates of all 4 atoms:
Ba (0.0000, 0.0000, 0.0000)
Al (0.0000, 0.0000, 0.4232)
Al (0.5000, 0.5000, 0.6428)
Tc (0.5000, 0.5000, 0.3239)

***

Entry 15:
Computed, not measured: a geometry-optimized BaAl2Tc structure at the PBE level of DFT.

Results
As for the formation enthalpy at 0 K: 712 meV per atom. As for the symmetry: No. 123. As for the energy relative to the lowest polymorph listed for this composition: 791 meV/atom. Its electronic total energy is -4.231 eV per atom. The magnetization is 0.00 μB/f.u.

Lattice parameters (Å, degrees): 5.3648 5.3648 2.9002 90.00 90.00 90.00
Fractional coordinates of all 4 atoms:
Ba (0.0000, 0.0000, 0.0000)
Al (0.0000, 0.5000, 0.5000)
Al (0.5000, 0.0000, 0.5000)
Tc (0.5000, 0.5000, 0.0000)

***

Entry 16:
Computed, not measured: a geometry-optimized BaAl3Tc structure at the PBE level of DFT.

Results
As for the formation enthalpy at 0 K: -251 meV per atom. As for the symmetry: No. 12. As for the energy relative to the lowest polymorph listed for this composition: 67 meV/atom. Its electronic total energy is -4.954 eV per atom. The magnetization is 0.00 μB/f.u.

Lattice parameters (Å, degrees): 7.2228 7.2228 5.2242 92.84 92.84 55.43
Fractional coordinates of all 10 atoms:
Ba (0.1469, 0.1469, 0.4929)
Ba (0.8531, 0.8531, 0.5071)
Al (0.0000, 0.5000, 0.0000)
Al (0.2086, 0.7914, 0.0000)
Al (0.4178, 0.4178, 0.6347)
Al (0.5000, 0.0000, 0.0000)
Al (0.5822, 0.5822, 0.3653)
Al (0.7914, 0.2086, 0.0000)
Tc (0.3869, 0.3869, 0.1262)
Tc (0.6131, 0.6131, 0.8738)

***

Entry 17:
Computed, not measured: a geometry-optimized BaAlTc2 structure at the PBE level of DFT.

Results
As for the formation enthalpy at 0 K: 615 meV per atom. As for the symmetry: No. 160. Its electronic total energy is -5.984 eV per atom. The magnetization is 0.00 μB/f.u.

Lattice parameters (Å, degrees): 10.2826 10.2826 10.2826 16.82 16.82 16.82
Fractional coordinates of all 4 atoms:
Ba (0.0000, 0.0000, 0.0000)
Al (0.2322, 0.2322, 0.2322)
Tc (0.4972, 0.4972, 0.4972)
Tc (0.7661, 0.7661, 0.7661)

***

Entry 18:
Computed, not measured: a geometry-optimized BaAl3Tc structure at the PBE level of DFT.

Results
As for the formation enthalpy at 0 K: -148 meV per atom. As for the symmetry: No. 59. As for the energy relative to the lowest polymorph listed for this composition: 170 meV/atom. Its electronic total energy is -4.851 eV per atom. The magnetization is 0.00 μB/f.u.

Lattice parameters (Å, degrees): 4.3895 7.4328 7.7349 90.00 90.00 90.00
Fractional coordinates of all 10 atoms:
Ba (0.2500, 0.2500, 0.1528)
Ba (0.7500, 0.7500, 0.8472)
Al (0.2500, 0.5783, 0.5133)
Al (0.2500, 0.7500, 0.2066)
Al (0.2500, 0.9217, 0.5133)
Al (0.7500, 0.0783, 0.4867)
Al (0.7500, 0.2500, 0.7934)
Al (0.7500, 0.4217, 0.4867)
Tc (0.2500, 0.2500, 0.6293)
Tc (0.7500, 0.7500, 0.3707)

***

Entry 19:
Computed, not measured: a geometry-optimized BaAl3Tc structure at the PBE level of DFT.

Results
As for the formation enthalpy at 0 K: -242 meV per atom. As for the symmetry: No. 11. As for the energy relative to the lowest polymorph listed for this composition: 75 meV/atom. Its electronic total energy is -4.946 eV per atom. The magnetization is 0.00 μB/f.u.

Lattice parameters (Å, degrees): 4.7156 5.1648 11.4238 90.00 94.01 90.00
Fractional coordinates of all 10 atoms:
Ba (0.2328, 0.2500, 0.3470)
Ba (0.7672, 0.7500, 0.6530)
Al (0.1629, 0.7500, 0.1210)
Al (0.3403, 0.5066, 0.8938)
Al (0.3403, 0.9934, 0.8938)
Al (0.6597, 0.0066, 0.1062)
Al (0.6597, 0.4934, 0.1062)
Al (0.8371, 0.2500, 0.8790)
Tc (0.1458, 0.2500, 0.0745)
Tc (0.8542, 0.7500, 0.9255)

***

Entry 20:
Computed, not measured: a geometry-optimized BaAl3Tc structure at the PBE level of DFT.

Results
As for the formation enthalpy at 0 K: -192 meV per atom. As for the symmetry: No. 1. As for the energy relative to the lowest polymorph listed for this composition: 126 meV/atom. Its electronic total energy is -4.895 eV per atom. The magnetization is 0.00 μB/f.u.

Lattice parameters (Å, degrees): 4.9152 6.7780 8.2066 75.57 74.18 88.45
Fractional coordinates of all 10 atoms:
Ba (0.0000, 0.0000, 0.0000)
Ba (0.2656, 0.6870, 0.4592)
Al (0.0024, 0.4003, 0.2439)
Al (0.1534, 0.1501, 0.5484)
Al (0.5163, 0.2752, 0.2232)
Al (0.5708, 0.3370, 0.7350)
Al (0.5825, 0.8368, 0.7353)
Al (0.9218, 0.5339, 0.9196)
Tc (0.4019, 0.5190, 0.9620)
Tc (0.6736, 0.1573, 0.5052)